BaLi2Se, relaxed, DFT PBE-GGA; space group = I4/mmm, No. 139; calculated total energy = -2.92 eV per atom; formation energy from raw total energies = -615 meV per atom
1.0
-2.2635 2.2635 6.6414
2.2635 -2.2635 6.6414
2.2635 2.2635 -6.6414
Ba Li Se
1 2 1
Direct
0.0000 0.0000 0.0000
0.2500 0.7500 0.5000
0.7500 0.2500 0.5000
0.5000 0.5000 0.0000

BaLi2Se, relaxed, DFT PBE-GGA; space group = I-42d, No. 122; calculated total energy = -2.96 eV per atom; formation energy from raw total energies = -654 meV per atom
1.0
-2.3005 2.3005 11.3695
2.3005 -2.3005 11.3695
2.3005 2.3005 -11.3695
Ba Li Se
2 4 2
Direct
0.0000 0.0000 0.0000
0.7500 0.2500 0.5000
0.1939 0.6250 0.0689
0.3750 0.4439 0.5689
0.5561 0.1250 0.9311
0.8750 0.8061 0.4311
0.2500 0.7500 0.5000
0.5000 0.5000 0.0000

BaLi3Se3, relaxed, DFT PBE-GGA; space group = Pm-3n, No. 223; calculated total energy = -3.79 eV per atom; formation energy from raw total energies = -1206 meV per atom
1.0
6.9288 0.0000 0.0000
0.0000 6.9288 0.0000
0.0000 0.0000 6.9288
Ba Li Se
2 6 6
Direct
0.0000 0.0000 0.0000
0.5000 0.5000 0.5000
0.0000 0.2500 0.5000
0.0000 0.7500 0.5000
0.2500 0.5000 0.0000
0.5000 0.0000 0.2500
0.5000 0.0000 0.7500
0.7500 0.5000 0.0000
0.0000 0.5000 0.2500
0.0000 0.5000 0.7500
0.2500 0.0000 0.5000
0.5000 0.2500 0.0000
0.5000 0.7500 0.0000
0.7500 0.0000 0.5000

BaLiSe2, relaxed, DFT PBE-GGA; space group = I-4m2, No. 119; calculated total energy = -3.73 eV per atom; formation energy from raw total energies = -1031 meV per atom
1.0
-2.2299 2.2299 5.6936
2.2299 -2.2299 5.6936
2.2299 2.2299 -5.6936
Ba Li Se
1 1 2
Direct
0.0000 0.0000 0.0000
0.2500 0.7500 0.5000
0.5000 0.5000 0.0000
0.7500 0.2500 0.5000

BaLi2Se, relaxed, DFT PBE-GGA; space group = I-4m2, No. 119; calculated total energy = -2.84 eV per atom; formation energy from raw total energies = -529 meV per atom
1.0
-2.7204 2.7204 3.8671
2.7204 -2.7204 3.8671
2.7204 2.7204 -3.8671
Ba Li Se
1 2 1
Direct
0.0000 0.0000 0.0000
0.2500 0.7500 0.5000
0.5000 0.5000 0.0000
0.7500 0.2500 0.5000

BaLi2Se, relaxed, DFT PBE-GGA; space group = Imm2, No. 44; calculated total energy = -2.99 eV per atom; formation energy from raw total energies = -685 meV per atom
1.0
-2.3404 3.2593 3.9862
2.3404 -3.2593 3.9862
2.3404 3.2593 -3.9862
Ba Li Se
1 2 1
Direct
0.0000 0.0000 0.0000
0.4475 0.4475 0.0000
0.6521 0.1521 0.5000
0.3392 0.8392 0.5000

Ba2LiSe, relaxed, DFT PBE-GGA; space group = I-4m2, No. 119; calculated total energy = -2.97 eV per atom; formation energy from raw total energies = -663 meV per atom
1.0
-2.3877 2.3877 6.4313
2.3877 -2.3877 6.4313
2.3877 2.3877 -6.4313
Ba Li Se
2 1 1
Direct
0.0000 0.0000 0.0000
0.7500 0.2500 0.5000
0.2500 0.7500 0.5000
0.5000 0.5000 0.0000

BaLiSe2, relaxed, DFT PBE-GGA; space group = P4/mmm, No. 123; calculated total energy = -3.83 eV per atom; formation energy from raw total energies = -1133 meV per atom
1.0
5.2171 0.0000 0.0000
0.0000 5.2171 0.0000
0.0000 0.0000 4.0752
Ba Li Se
1 1 2
Direct
0.0000 0.0000 0.0000
0.5000 0.5000 0.0000
0.0000 0.5000 0.5000
0.5000 0.0000 0.5000

BaLi2Se, relaxed, DFT PBE-GGA; space group = P2/m, No. 10; calculated total energy = -3.11 eV per atom; formation energy from raw total energies = -800 meV per atom
1.0
4.6988 0.0000 0.0000
0.0000 4.5029 0.0000
-0.9791 0.0000 5.5569
Ba Li Se
1 2 1
Direct
0.0000 0.0000 0.0000
0.4375 0.5000 0.7188
0.5625 0.5000 0.2812
0.5000 0.0000 0.5000

Ba2LiSe, relaxed, DFT PBE-GGA; space group = I-42d, No. 122; calculated total energy = -3.03 eV per atom; formation energy from raw total energies = -719 meV per atom
1.0
-4.5365 4.5365 4.6105
4.5365 -4.5365 4.6105
4.5365 4.5365 -4.6105
Ba Li Se
4 2 2
Direct
0.0788 0.6250 0.9538
0.3750 0.3288 0.4538
0.6712 0.1250 0.0462
0.8750 0.9212 0.5462
0.2500 0.7500 0.5000
0.5000 0.5000 0.0000
0.0000 0.0000 0.0000
0.7500 0.2500 0.5000

BaLiSe2, relaxed, DFT PBE-GGA; space group = Cm, No. 8; calculated total energy = -3.98 eV per atom; formation energy from raw total energies = -1280 meV per atom
1.0
6.1525 -2.1805 0.0000
6.1525 2.1805 0.0000
-1.5217 0.0000 4.0782
Ba Li Se
1 1 2
Direct
0.0000 0.0000 0.0000
0.7482 0.7482 0.2202
0.3623 0.3623 0.4189
0.6254 0.6254 0.5979

BaLi2Se, relaxed, DFT PBE-GGA; space group = P4mm, No. 99; calculated total energy = -3.06 eV per atom; formation energy from raw total energies = -756 meV per atom
1.0
3.9828 0.0000 0.0000
0.0000 3.9828 0.0000
0.0000 0.0000 7.2011
Ba Li Se
1 2 1
Direct
0.0000 0.0000 0.0000
0.0000 0.0000 0.5526
0.5000 0.5000 0.3985
0.5000 0.5000 0.7516

BaLiSe2, relaxed, DFT PBE-GGA; space group = C2/m, No. 12; calculated total energy = -3.86 eV per atom; formation energy from raw total energies = -1163 meV per atom
1.0
3.3613 -3.9901 0.0000
3.3613 3.9901 0.0000
-0.0094 0.0000 4.0718
Ba Li Se
1 1 2
Direct
0.0000 0.0000 0.0000
0.5000 0.5000 0.0000
0.0000 0.5000 0.5000
0.5000 0.0000 0.5000

BaLi2Se, relaxed, DFT PBE-GGA; space group = R-3m, No. 166; calculated total energy = -3.07 eV per atom; formation energy from raw total energies = -764 meV per atom
1.0
2.1382 1.2345 6.9383
-2.1382 1.2345 6.9383
0.0000 -2.4690 6.9383
Ba Li Se
1 2 1
Direct
0.0000 0.0000 0.0000
0.2035 0.2035 0.2035
0.7965 0.7965 0.7965
0.5000 0.5000 0.5000

Ba2LiSe, relaxed, DFT PBE-GGA; space group = Imm2, No. 44; calculated total energy = -3.08 eV per atom; formation energy from raw total energies = -773 meV per atom
1.0
-2.0229 2.7168 6.6008
2.0229 -2.7168 6.6008
2.0229 2.7168 -6.6008
Ba Li Se
2 1 1
Direct
0.0000 0.0000 0.0000
0.6977 0.1977 0.5000
0.3331 0.8331 0.5000
0.4780 0.4780 0.0000

Ba3LiSm2Se6, relaxed, DFT PBE-GGA; space group = C2/m, No. 12; calculated total energy = -5.01 eV per atom; formation energy from raw total energies = -1842 meV per atom
1.0
3.8056 -6.5924 0.0000
3.8056 6.5924 0.0000
-2.5293 0.0000 7.3212
Ba Li Sm Se
3 1 2 6
Direct
0.0000 0.0000 0.0000
0.3355 0.6645 0.0000
0.6645 0.3355 0.0000
0.5000 0.5000 0.5000
0.1671 0.8329 0.5000
0.8329 0.1671 0.5000
0.0906 0.4272 0.2822
0.2358 0.2358 0.7150
0.4272 0.0906 0.2822
0.5728 0.9094 0.7178
0.7642 0.7642 0.2850
0.9094 0.5728 0.7178

Ba2LiSmSe4, relaxed, DFT PBE-GGA; space group = P2/m, No. 10; calculated total energy = -4.83 eV per atom; formation energy from raw total energies = -1782 meV per atom
1.0
7.6436 0.0000 0.0000
0.0000 4.4508 0.0000
-2.4950 0.0000 7.2525
Ba Li Sm Se
2 1 1 4
Direct
0.0000 0.0000 0.0000
0.5000 0.5000 0.0000
0.0000 0.5000 0.5000
0.5000 0.0000 0.5000
0.2474 0.0000 0.7191
0.2632 0.5000 0.2831
0.7368 0.5000 0.7169
0.7526 0.0000 0.2809

BaLiSmSe3, relaxed, DFT PBE-GGA; space group = P2_1/m, No. 11; calculated total energy = -4.98 eV per atom; formation energy from raw total energies = -1810 meV per atom
1.0
8.9919 0.0000 0.0000
0.0000 4.3046 0.0000
-2.3175 0.0000 9.0526
Ba Li Sm Se
2 2 2 6
Direct
0.1902 0.2500 0.2403
0.8098 0.7500 0.7597
0.0851 0.2500 0.5901
0.9149 0.7500 0.4099
0.3294 0.7500 0.8381
0.6706 0.2500 0.1619
0.1140 0.2500 0.8676
0.2060 0.7500 0.5195
0.4455 0.7500 0.1654
0.5545 0.2500 0.8346
0.7940 0.2500 0.4805
0.8860 0.7500 0.1324

Ba2Li2SmSe4, relaxed, DFT PBE-GGA; space group = C2/m, No. 12; calculated total energy = -4.58 eV per atom; formation energy from raw total energies = -1650 meV per atom
1.0
7.8408 -2.1373 0.0000
7.8408 2.1373 0.0000
-2.6677 0.0000 7.2110
Ba Li Sm Se
2 2 1 4
Direct
0.1331 0.1331 0.0578
0.8669 0.8669 0.9422
0.3194 0.3194 0.5062
0.6806 0.6806 0.4938
0.0000 0.0000 0.5000
0.2050 0.2050 0.6941
0.4805 0.4805 0.7504
0.5195 0.5195 0.2496
0.7950 0.7950 0.3059

Ba4LiSm3Se8, relaxed, DFT PBE-GGA; space group = R-3m, No. 166; calculated total energy = -5.09 eV per atom; formation energy from raw total energies = -1861 meV per atom
1.0
4.3827 2.5304 7.3402
-4.3827 2.5304 7.3402
0.0000 -5.0607 7.3402
Ba Li Sm Se
4 1 3 8
Direct
0.0000 0.0000 0.0000
0.0000 0.5000 0.5000
0.5000 0.0000 0.5000
0.5000 0.5000 0.0000
0.5000 0.5000 0.5000
0.0000 0.0000 0.5000
0.0000 0.5000 0.0000
0.5000 0.0000 0.0000
0.2372 0.7396 0.7396
0.2397 0.2397 0.2397
0.2604 0.2604 0.7628
0.2604 0.7628 0.2604
0.7396 0.2372 0.7396
0.7396 0.7396 0.2372
0.7603 0.7603 0.7603
0.7628 0.2604 0.2604